Record 1
A plane-wave DFT calculation with PBE was carried out for a relaxed structure of Ac2DyGa3Ir4.

Summary:
The energy relative to the elements comes out at -0.720 eV per atom. The space group is P-4m2 (115). The calculation puts the density of states at the Fermi level at 6.3 states/eV/cell.

```
10
Lattice="4.3563 0.0000 0.0000 0.0000 4.3563 0.0000 0.0000 0.0000 11.2214" Properties=species:S:1:pos:R:3 pbc="T T T"
Ac 0.0000 2.1781 2.5487
Ac 2.1781 0.0000 8.6727
Dy 0.0000 0.0000 5.6107
Ga 0.0000 2.1781 9.9438
Ga 2.1781 0.0000 1.2776
Ga 2.1781 2.1781 5.6107
Ir 0.0000 0.0000 0.0000
Ir 0.0000 2.1781 7.3426
Ir 2.1781 0.0000 3.8788
Ir 2.1781 2.1781 0.0000
```


Record 2
A plane-wave DFT calculation with PBE was carried out for a relaxed structure of InSi2Br.

Summary:
The polymorph energy (0 for the lowest one) comes out at 0.5031 eV/atom. The space group is R-3m (166). The calculation puts the density of states at the Fermi level at 4.9 states/eV/cell. The calculation puts the formation energy from raw total energies at 200 kJ/mol of formula units.

```
12
Lattice="4.1663 0.0000 0.0000 -2.0831 3.6081 0.0000 0.0000 0.0000 19.9194" Properties=species:S:1:pos:R:3 pbc="T T T"
In 0.0000 0.0000 0.0000
In 0.0000 2.4054 13.2796
In 2.0831 1.2027 6.6398
Si 0.0000 0.0000 5.3996
Si 0.0000 0.0000 14.5198
Si 0.0000 2.4054 7.8800
Si 0.0000 2.4054 18.6792
Si 2.0831 1.2027 1.2402
Si 2.0831 1.2027 12.0394
Br 0.0000 0.0000 9.9597
Br 0.0000 2.4054 3.3199
Br 2.0831 1.2027 16.5995
```


Record 3
A plane-wave DFT calculation with PBE was carried out for a relaxed structure of CdCuSe4.

Summary:
The space group is F-43m (216). The calculation puts the density of states at the Fermi level at 1.6 states/eV/cell. The calculation puts the formation energy from raw total energies at 340 kJ/mol of formula units.

```
6
Lattice="0.0000 4.0546 4.0546 4.0546 0.0000 4.0546 4.0546 4.0546 0.0000" Properties=species:S:1:pos:R:3 pbc="T T T"
Cd 0.0000 0.0000 0.0000
Cu 6.0820 6.0820 6.0820
Se 3.0389 3.0389 3.0389
Se 5.0703 5.0703 3.0389
Se 5.0703 3.0389 5.0703
Se 3.0389 5.0703 5.0703
```


Record 4
A plane-wave DFT calculation with PBE was carried out for a relaxed structure of HgRh.

Summary:
The energy relative to the elements comes out at 0.231 eV per atom. The space group is Cm (8). The calculation puts the density of states at the Fermi level at 12.2 states/eV/cell.

```
12
Lattice="10.6645 0.0000 0.0000 0.0000 2.9604 0.0000 -2.2133 0.0000 6.6868" Properties=species:S:1:pos:R:3 pbc="T T T"
Hg 0.0000 0.0000 0.0000
Hg -0.9858 0.0000 3.9912
Hg 1.2357 1.4802 2.3029
Hg 5.3323 1.4802 0.0000
Hg 4.3465 1.4802 3.9912
Hg 6.5680 0.0000 2.3029
Rh 0.2670 1.4802 6.2831
Rh 1.8355 0.0000 4.6069
Rh 3.5607 0.0000 1.6689
Rh 5.5993 0.0000 6.2831
Rh 7.1678 1.4802 4.6069
Rh 8.8929 1.4802 1.6689
```


Record 5
A plane-wave DFT calculation with PBE was carried out for a relaxed structure of CdCuTc2.

Summary:
The energy relative to the elements comes out at 0.425 eV per atom. The space group is F-43m (216). The calculation puts the density of states at the Fermi level at 13.2 states/eV/cell.

```
16
Lattice="6.2562 0.0000 0.0000 0.0000 6.2562 0.0000 0.0000 0.0000 6.2562" Properties=species:S:1:pos:R:3 pbc="T T T"
Cd 0.0000 0.0000 0.0000
Cd 0.0000 3.1281 3.1281
Cd 3.1281 0.0000 3.1281
Cd 3.1281 3.1281 0.0000
Cu 1.5640 1.5640 4.6921
Cu 1.5640 4.6921 1.5640
Cu 4.6921 1.5640 1.5640
Cu 4.6921 4.6921 4.6921
Tc 0.0000 0.0000 3.1281
Tc 0.0000 3.1281 0.0000
Tc 1.5640 1.5640 1.5640
Tc 1.5640 4.6921 4.6921
Tc 3.1281 0.0000 0.0000
Tc 3.1281 3.1281 3.1281
Tc 4.6921 1.5640 4.6921
Tc 4.6921 4.6921 1.5640
```


Record 6
A plane-wave DFT calculation with PBE was carried out for a relaxed structure of BiSbPd6.

Summary:
The polymorph energy (0 for the lowest one) comes out at 0.0000 eV/atom. The space group is Cmmm (65). The calculation puts the density of states at the Fermi level at 13.1 states/eV/cell. The calculation puts the formation energy from raw total energies at -227 kJ/mol of formula units.

```
16
Lattice="8.2309 0.0000 0.0000 0.0000 8.2404 0.0000 0.0000 0.0000 4.0624" Properties=species:S:1:pos:R:3 pbc="T T T"
Bi 0.0000 0.0000 0.0000
Bi 4.1155 4.1202 0.0000
Sb 0.0000 4.1202 0.0000
Sb 4.1155 0.0000 0.0000
Pd 0.0000 2.1059 2.0312
Pd 0.0000 6.1345 2.0312
Pd 1.9942 4.1202 2.0312
Pd 2.0577 2.0601 0.0000
Pd 2.0577 6.1803 0.0000
Pd 2.1212 0.0000 2.0312
Pd 4.1155 2.0143 2.0312
Pd 4.1155 6.2261 2.0312
Pd 6.1097 0.0000 2.0312
Pd 6.1732 2.0601 0.0000
Pd 6.1732 6.1803 0.0000
Pd 6.2367 4.1202 2.0312
```


Record 7
A plane-wave DFT calculation with PBE was carried out for a relaxed structure of CsBeAs.

Summary:
The energy relative to the elements comes out at -0.298 eV per atom. The space group is Pnma (62). The calculation puts the density of states at the Fermi level at 0.0 states/eV/cell.

```
12
Lattice="15.1501 0.0000 0.0000 0.0000 5.0747 0.0000 0.0000 0.0000 5.8419" Properties=species:S:1:pos:R:3 pbc="T T T"
Cs 2.1418 1.2687 0.0143
Cs 5.4332 3.8060 2.9353
Cs 9.7168 1.2687 2.9066
Cs 13.0082 3.8060 5.8276
Be 0.0000 0.0000 2.9210
Be 0.0000 2.5374 2.9210
Be 7.5750 0.0000 0.0000
Be 7.5750 2.5374 0.0000
As 1.6684 3.8060 2.9456
As 5.9066 1.2687 0.0247
As 9.2434 3.8060 5.8173
As 13.4816 1.2687 2.8963
```


Record 8
A plane-wave DFT calculation with PBE was carried out for a relaxed structure of Li2CdO2.

Summary:
The polymorph energy (0 for the lowest one) comes out at 0.0282 eV/atom. The space group is C2/m (12). The calculation puts the formation energy from raw total energies at -695 kJ/mol of formula units.

```
10
Lattice="5.4387 -1.7794 0.0000 5.4387 1.7794 0.0000 -3.8402 0.0000 6.5049" Properties=species:S:1:pos:R:3 pbc="T T T"
Li -0.4121 0.0000 1.1763
Li 3.6040 0.0000 0.1120
Li 3.4330 0.0000 6.3929
Li 7.4492 0.0000 5.3286
Cd 2.1647 0.0000 2.5231
Cd 4.8724 0.0000 3.9818
O 1.5150 0.0000 0.5625
O 2.5649 0.0000 4.5575
O 4.4722 0.0000 1.9474
O 5.5221 0.0000 5.9424
```


Record 9
A plane-wave DFT calculation with PBE was carried out for a relaxed structure of Dy3ZrAg2.

Summary:
The energy relative to the elements comes out at -0.170 eV per atom. The space group is P4/mmm (123). The calculation puts the density of states at the Fermi level at 6.4 states/eV/cell.

```
6
Lattice="3.5415 0.0000 0.0000 0.0000 3.5415 0.0000 0.0000 0.0000 11.9785" Properties=species:S:1:pos:R:3 pbc="T T T"
Dy 0.0000 0.0000 0.0000
Dy 0.0000 0.0000 3.7642
Dy 0.0000 0.0000 8.2143
Zr 1.7708 1.7708 5.9892
Ag 1.7708 1.7708 1.8774
Ag 1.7708 1.7708 10.1010
```


Record 10
A plane-wave DFT calculation with PBE was carried out for a relaxed structure of Ta2Ir.

Summary:
The energy relative to the elements comes out at -0.150 eV per atom. The space group is Cmcm (63). The calculation puts the density of states at the Fermi level at 8.5 states/eV/cell.

```
12
Lattice="2.8903 0.0000 0.0000 0.0000 14.6506 0.0000 0.0000 0.0000 4.9242" Properties=species:S:1:pos:R:3 pbc="T T T"
Ta 0.0000 0.6252 1.2311
Ta 0.0000 5.3977 1.2311
Ta 0.0000 9.2529 3.6932
Ta 0.0000 14.0254 3.6932
Ta 1.4451 1.9276 3.6932
Ta 1.4451 6.7001 3.6932
Ta 1.4451 7.9505 1.2311
Ta 1.4451 12.7230 1.2311
Ir 0.0000 4.2929 3.6932
Ir 0.0000 10.3577 1.2311
Ir 1.4451 3.0324 1.2311
Ir 1.4451 11.6182 3.6932
```


Record 11
A plane-wave DFT calculation with PBE was carried out for a relaxed structure of Zr2SiMo.

Summary:
The space group is Pm (6). The calculation puts the density of states at the Fermi level at 2.4 states/eV/cell. The calculation puts the formation energy from raw total energies at -143 kJ/mol of formula units.

```
4
Lattice="3.5494 0.0000 0.0000 0.0000 4.2137 0.0000 -1.7394 0.0000 5.0955" Properties=species:S:1:pos:R:3 pbc="T T T"
Zr 0.0000 0.0000 0.0000
Zr -0.0140 2.1069 2.9351
Si 1.7668 0.0000 2.2126
Mo 1.7850 2.1069 0.6260
```


Record 12
A plane-wave DFT calculation with PBE was carried out for a relaxed structure of K2HgBr2Cl2.

Summary:
The space group is C2/m (12). The calculation puts the density of states at the Fermi level at 0.0 states/eV/cell. The calculation puts the formation energy from raw total energies at -849 kJ/mol of formula units.

```
14
Lattice="15.5450 0.0000 0.0000 0.0000 4.3557 0.0000 -3.8675 0.0000 6.7823" Properties=species:S:1:pos:R:3 pbc="T T T"
K 1.9091 0.0000 0.8043
K 1.9960 2.1778 5.9780
K 9.6816 2.1778 0.8043
K 9.7685 0.0000 5.9780
Hg -1.9337 0.0000 3.3912
Hg 5.8388 2.1778 3.3912
Br -0.6317 2.1778 1.7539
Br 4.5367 0.0000 5.0285
Br 7.1408 0.0000 1.7539
Br 12.3093 2.1778 5.0285
Cl 0.0069 0.0000 5.0194
Cl 3.8982 2.1778 1.7629
Cl 7.7794 2.1778 5.0194
Cl 11.6707 0.0000 1.7629
```


Record 13
A plane-wave DFT calculation with PBE was carried out for a relaxed structure of CdIrPd2.

Summary:
The energy relative to the elements comes out at 0.400 eV per atom. The space group is I-42d (122). The calculation puts the density of states at the Fermi level at 18.7 states/eV/cell.

```
16
Lattice="3.9131 0.0000 0.0000 0.0000 3.9131 0.0000 0.0000 0.0000 18.5579" Properties=species:S:1:pos:R:3 pbc="T T T"
Cd 0.0000 0.0000 0.0000
Cd 0.0000 1.9565 4.6395
Cd 1.9565 0.0000 13.9184
Cd 1.9565 1.9565 9.2789
Ir 0.0000 0.0000 9.2789
Ir 0.0000 1.9565 13.9184
Ir 1.9565 0.0000 4.6395
Ir 1.9565 1.9565 0.0000
Pd 0.9139 0.9783 11.5987
Pd 0.9783 2.8704 16.2382
Pd 0.9783 2.9992 6.9592
Pd 1.0427 0.9783 2.3197
Pd 2.8704 2.9348 2.3197
Pd 2.9348 0.9139 6.9592
Pd 2.9348 1.0427 16.2382
Pd 2.9992 2.9348 11.5987
```


Record 14
A plane-wave DFT calculation with PBE was carried out for a relaxed structure of Te6PdRh2.

Summary:
The polymorph energy (0 for the lowest one) comes out at 0.0000 eV/atom. The space group is P-31m (162). The calculation puts the density of states at the Fermi level at 4.8 states/eV/cell. The calculation puts the formation energy from raw total energies at -333 kJ/mol of formula units.

```
9
Lattice="6.9744 0.0000 0.0000 -3.4872 6.0400 0.0000 0.0000 0.0000 5.3026" Properties=species:S:1:pos:R:3 pbc="T T T"
Te -1.1889 2.0593 1.3547
Te -2.2983 3.9807 3.9479
Te 2.3779 0.0000 1.3547
Te 1.1889 2.0593 3.9479
Te 4.5965 0.0000 3.9479
Te 2.2983 3.9807 1.3547
Pd 0.0000 0.0000 0.0000
Rh 0.0000 4.0267 0.0000
Rh 3.4872 2.0133 0.0000
```


Record 15
A plane-wave DFT calculation with PBE was carried out for a relaxed structure of KTc2Hg.

Summary:
The energy relative to the elements comes out at 1.121 eV per atom. The space group is P4/mmm (123). The calculation puts the density of states at the Fermi level at 4.5 states/eV/cell.

```
4
Lattice="3.6666 0.0000 0.0000 0.0000 3.6666 0.0000 0.0000 0.0000 7.4914" Properties=species:S:1:pos:R:3 pbc="T T T"
K 0.0000 0.0000 0.0000
Tc 1.8333 1.8333 2.6444
Tc 1.8333 1.8333 4.8470
Hg 0.0000 0.0000 3.7457
```


Record 16
A plane-wave DFT calculation with PBE was carried out for a relaxed structure of KTi2NbRh.

Summary:
The energy relative to the elements comes out at 1.265 eV per atom. The space group is P4/mmm (123). The calculation puts the density of states at the Fermi level at 8.6 states/eV/cell.

```
5
Lattice="4.7521 0.0000 0.0000 0.0000 4.7521 0.0000 0.0000 0.0000 5.5122" Properties=species:S:1:pos:R:3 pbc="T T T"
K 0.0000 0.0000 0.0000
Ti 0.0000 2.3761 2.7561
Ti 2.3761 0.0000 2.7561
Nb 2.3761 2.3761 0.0000
Rh 0.0000 0.0000 2.7561
```


Record 17
A plane-wave DFT calculation with PBE was carried out for a relaxed structure of NdTc2Ge2.

Summary:
The polymorph energy (0 for the lowest one) comes out at 0.0000 eV/atom. The energy relative to the elements comes out at -0.486 eV per atom. The space group is Imma (74). The calculation puts the density of states at the Fermi level at 2.8 states/eV/cell.

```
10
Lattice="-2.0925 2.1016 10.8793 2.0925 -2.1016 10.8793 2.0925 2.1016 -10.8793" Properties=species:S:1:pos:R:3 pbc="T T T"
Nd 0.0000 1.0508 3.5077
Nd 2.0925 1.0508 7.3716
Tc 2.0925 -1.0508 10.1270
Tc 2.0925 1.0508 0.7807
Tc 0.0000 1.0508 10.0986
Tc 0.0000 3.1524 0.7523
Ge 2.0925 1.0508 -4.7890
Ge 2.0925 1.0508 -2.2470
Ge 0.0000 1.0508 13.1262
Ge 0.0000 1.0508 15.6683
```


Record 18
A plane-wave DFT calculation with PBE was carried out for a relaxed structure of Sc2SiH.

Summary:
The space group is R-3m (166). The calculation puts the density of states at the Fermi level at 13.3 states/eV/cell. Its raw total energy is -67.5 eV for the cell shown.

```
12
Lattice="4.1083 0.0000 0.0000 -2.0541 3.5579 0.0000 0.0000 0.0000 19.0149" Properties=species:S:1:pos:R:3 pbc="T T T"
Sc 0.0000 0.0000 1.9493
Sc 0.0000 0.0000 17.0656
Sc 0.0000 2.3719 10.7273
Sc 0.0000 2.3719 14.6259
Sc 2.0541 1.1860 4.3890
Sc 2.0541 1.1860 8.2876
Si 0.0000 0.0000 9.5075
Si 0.0000 2.3719 3.1692
Si 2.0541 1.1860 15.8458
H 0.0000 0.0000 0.0000
H 0.0000 2.3719 12.6766
H 2.0541 1.1860 6.3383
```


Record 19
A plane-wave DFT calculation with PBE was carried out for a relaxed structure of CsC5.

Summary:
The polymorph energy (0 for the lowest one) comes out at 1.0609 eV/atom. The energy relative to the elements comes out at 2.305 eV per atom. The space group is P4/mmm (123). The calculation puts the density of states at the Fermi level at 2.6 states/eV/cell.

```
6
Lattice="3.4069 0.0000 0.0000 0.0000 3.4069 0.0000 0.0000 0.0000 7.4734" Properties=species:S:1:pos:R:3 pbc="T T T"
Cs 0.0000 0.0000 0.0000
C 0.0000 0.0000 3.0583
C 0.0000 0.0000 4.4150
C 1.7035 1.7035 2.3874
C 1.7035 1.7035 3.7367
C 1.7035 1.7035 5.0860
```


Record 20
A plane-wave DFT calculation with PBE was carried out for a relaxed structure of MnZnIn.

Summary:
The energy relative to the elements comes out at 0.172 eV per atom. The space group is I4mm (107). The calculation puts the density of states at the Fermi level at 2.6 states/eV/cell.

```
6
Lattice="2.9981 0.0000 0.0000 0.0000 2.9981 0.0000 0.0000 0.0000 11.4013" Properties=species:S:1:pos:R:3 pbc="T T T"
Mn 0.0000 0.0000 0.0000
Mn 1.4991 1.4991 5.7006
Zn 0.0000 0.0000 7.2610
Zn 1.4991 1.4991 1.5604
In 0.0000 0.0000 3.7453
In 1.4991 1.4991 9.4459
```